# 1
Material: TmTcP2
Method: DFT, PBE
State: optimized geometry

abc: 2.9801 2.9801 27.5999
angles: 90.00 90.00 120.00
Space group R-3m (No. 166, hexagonal axes)
Unique sites:
Tm1 0.0000 0.0000 0.0000 [3 per cell]
Tc1 0.0000 0.0000 0.5000 [3 per cell]
P1 0.0000 0.0000 0.4156 [6 per cell]

Computed properties:
For the density, the calculation gives 7.72 g/cm3. The calculated formation energy comes out at 0.249 eV per atom.


# 2
Material: TmTc2P2
Method: DFT, PBE
State: optimized geometry

abc: 4.1585 4.1585 9.2991
angles: 90.00 90.00 90.00
Space group I4/mmm (No. 139)
Unique sites:
Tm1 0.0000 0.0000 0.0000 [2 per cell]
Tc1 0.0000 0.5000 0.2500 [4 per cell]
P1 0.0000 0.0000 0.3707 [4 per cell]

Computed properties:
For the density, the calculation gives 8.82 g/cm3. The calculated formation energy comes out at -0.896 eV per atom.


# 3
Material: TmTc6P4
Method: DFT, PBE
State: optimized geometry

abc: 5.8330 5.8330 10.2953
angles: 90.00 90.00 90.00
Space group I-42m (No. 121)
Unique sites:
Tm1 0.0000 0.0000 0.0000 [2 per cell]
Tc1 0.0000 0.5000 0.0000 [4 per cell]
Tc2 0.1744 0.1744 0.6893 [8 per cell]
P1 0.2062 0.2062 0.3886 [8 per cell]

Computed properties:
For the density, the calculation gives 8.35 g/cm3. The calculated formation energy comes out at -0.283 eV per atom.


# 4
Material: UTcP2
Method: DFT, PBE
State: optimized geometry

abc: 3.8849 3.8849 15.5750
angles: 90.00 90.00 120.00
Space group R-3m (No. 166, hexagonal axes)
Unique sites:
U1 0.0000 0.0000 0.0000 [3 per cell]
Tc1 0.0000 0.0000 0.5000 [3 per cell]
P1 0.0000 0.0000 0.2325 [6 per cell]

Computed properties:
For the density, the calculation gives 9.74 g/cm3. The calculated formation energy comes out at -0.732 eV per atom. Its energy relative to the lowest polymorph listed for this composition is 0 meV per atom.